(1)
Material: Cs2CrBI6
Method: DFT, PBE-GGA
State: relaxed

spin magnetization: 12.0 μB/cell
calculated volume: 372.6 Å³/f.u.
E_form (uncorrected): -0.4176 eV/atom

Cell lengths 11.423, 11.423, 11.423 Å; angles 90.00, 90.00, 90.00 degrees
Space group Fm-3m (No. 225)
Asymmetric unit:
1 Cs 0.250 0.250 0.250 [8 per cell]
2 Cr 0.000 0.000 0.000 [4 per cell]
3 B 0.000 0.000 0.500 [4 per cell]
4 I 0.000 0.000 0.245 [24 per cell]

(2)
Material: Tc4P
Method: DFT, PBE-GGA
State: relaxed

spin magnetization: 1.5 μB/cell
calculated volume: 80.8 Å³/f.u.

Cell lengths 4.323, 4.323, 4.323 Å; angles 90.00, 90.00, 90.00 degrees
Space group Pm-3m (No. 221)
Asymmetric unit:
1 Tc 0.000 0.000 0.000 [1 per cell]
2 Tc 0.000 0.500 0.500 [3 per cell]
3 P 0.500 0.500 0.500 [1 per cell]

(3)
Material: Sr2RhW
Method: DFT, PBE-GGA
State: relaxed

spin magnetization: 0.0 μB/cell
calculated volume: 114.8 Å³/f.u.
energy above the most stable polymorph in this dataset: 100 meV per atom

Cell lengths 3.899, 5.349, 11.006 Å; angles 90.00, 90.00, 90.00 degrees
Space group Imm2 (No. 44)
Asymmetric unit:
1 Sr 0.000 0.000 0.000 [2 per cell]
2 Sr 0.000 0.500 0.219 [2 per cell]
3 Rh 0.000 0.000 0.430 [2 per cell]
4 W 0.000 0.500 0.806 [2 per cell]

(4)
Material: CrMo2H
Method: DFT, PBE-GGA
State: relaxed

spin magnetization: 0.0 μB/cell
calculated volume: 48.4 Å³/f.u.
energy above the most stable polymorph in this dataset: 0 meV per atom

Cell lengths 5.718, 5.718, 5.918 Å; angles 90.00, 90.00, 90.00 degrees
Space group I-42d (No. 122)
Asymmetric unit:
1 Cr 0.000 0.000 0.000 [4 per cell]
2 Mo 0.183 0.750 0.625 [8 per cell]
3 H 0.000 0.000 0.500 [4 per cell]

(5)
Material: Sr2LiZn2
Method: DFT, PBE-GGA
State: relaxed

spin magnetization: 0.0 μB/cell
calculated volume: 144.9 Å³/f.u.
energy above the most stable polymorph in this dataset: 0 meV per atom

Cell lengths 11.746, 4.835, 11.656 Å; angles 90.00, 118.89, 90.00 degrees
Space group C2/m (No. 12)
Asymmetric unit:
1 Sr 0.007 0.000 0.328 [4 per cell]
2 Sr 0.194 0.000 0.110 [4 per cell]
3 Li 0.224 0.500 0.371 [4 per cell]
4 Zn 0.007 0.500 0.890 [4 per cell]
5 Zn 0.131 0.500 0.561 [4 per cell]

(6)
Material: ZrNb2Fe
Method: DFT, PBE-GGA
State: relaxed

spin magnetization: 0.0 μB/cell
calculated volume: 73.8 Å³/f.u.
energy above the most stable polymorph in this dataset: 291 meV per atom

Cell lengths 7.396, 7.396, 5.399 Å; angles 90.00, 90.00, 90.00 degrees
Space group I-42d (No. 122)
Asymmetric unit:
1 Zr 0.000 0.000 0.000 [4 per cell]
2 Nb 0.197 0.250 0.625 [8 per cell]
3 Fe 0.000 0.000 0.500 [4 per cell]

(7)
Material: Zr2RuPb
Method: DFT, PBE-GGA
State: relaxed

spin magnetization: 7.7 μB/cell
calculated volume: 80.8 Å³/f.u.

Cell lengths 6.862, 6.862, 6.862 Å; angles 90.00, 90.00, 90.00 degrees
Space group F-43m (No. 216)
Asymmetric unit:
1 Zr 0.000 0.000 0.000 [4 per cell]
2 Zr 0.250 0.250 0.250 [4 per cell]
3 Ru 0.250 0.250 0.750 [4 per cell]
4 Pb 0.000 0.000 0.500 [4 per cell]

(8)
Material: Y3ScAu2S
Method: DFT, PBE-GGA
State: relaxed

spin magnetization: 0.0 μB/cell
calculated volume: 178.4 Å³/f.u.
E_form (uncorrected): -0.8995 eV/atom

Cell lengths 4.815, 5.098, 14.538 Å; angles 90.00, 90.00, 90.00 degrees
Space group Immm (No. 71)
Asymmetric unit:
1 Y 0.000 0.000 0.000 [2 per cell]
2 Y 0.000 0.500 0.187 [4 per cell]
3 Sc 0.000 0.000 0.500 [2 per cell]
4 Au 0.000 0.500 0.380 [4 per cell]
5 S 0.000 0.500 0.000 [2 per cell]

Per-record E_tot, eV/atom: -3.148 -8.717 -5.425 -8.217 -1.718 -8.953 -7.500 -6.100
Per-record D(E_F), states/eV per atom: 0.0000 0.8976 1.1014 0.9157 0.8447 1.1919 0.8787 1.1714